1.
VASP calculation (PBE) on an optimized crystal structure of Ca2TeRu.

Space group ... F-43m, No. 216
Formation energy (no corrections) ... -0.165 eV per atom
Total magnetization ... 0.00 μB per cell
Total DFT energy (no corrections) ... -4.270 eV/atom

Lattice parameters (Å, degrees): 4.9611 4.9611 4.9611 60.00 60.00 60.00
Sites, in units of the cell vectors:
Ru 0.5000 0.5000 0.5000
Ca 0.0000 0.0000 0.0000
Ca 0.2500 0.2500 0.2500
Te 0.7500 0.7500 0.7500


2.
VASP calculation (PBE) on an optimized crystal structure of GeMo.

Space group ... Amm2, No. 38
Total magnetization ... 0.00 μB per cell
Formation energy ... 0.206 eV/atom
Total DFT energy (no corrections) ... -7.519 eV/atom

Lattice parameters (Å, degrees): 3.3908 9.5099 6.4889 90.00 90.00 90.00
Sites, in units of the cell vectors:
Ge 0.5000 0.8603 0.7650
Ge 0.5000 0.1397 0.7650
Ge 0.5000 0.3603 0.2650
Ge 0.5000 0.6397 0.2650
Ge 0.0000 0.0000 0.1190
Ge 0.0000 0.5000 0.6190
Mo 0.0000 0.2856 0.9617
Mo 0.0000 0.7144 0.9617
Mo 0.0000 0.7856 0.4617
Mo 0.0000 0.2144 0.4617
Mo 0.5000 0.0000 0.4297
Mo 0.5000 0.5000 0.9297


3.
VASP calculation (PBE) on an optimized crystal structure of RbAgPt2.

Space group ... I-42d, No. 122
Energy relative to the lowest polymorph listed for this composition ... 0.0000 eV/atom
Total magnetization ... 0.00 μB per cell
Formation energy ... 0.258 eV/atom
Total DFT energy (no corrections) ... -3.717 eV/atom

Lattice parameters (Å, degrees): 4.9422 4.9422 10.1323 75.88 75.88 90.00
Sites, in units of the cell vectors:
Rb 0.5000 0.5000 0.0000
Rb 0.2500 0.7500 0.5000
Ag 0.0000 0.0000 0.0000
Ag 0.7500 0.2500 0.5000
Pt 0.8181 0.1250 0.2500
Pt 0.9319 0.6250 0.2500
Pt 0.3750 0.1819 0.7500
Pt 0.8750 0.0681 0.7500


4.
VASP calculation (PBE) on an optimized crystal structure of LaTm2Ni.

Space group ... R3m, No. 160
Energy relative to the lowest polymorph listed for this composition ... 0.0729 eV/atom
Total magnetization ... 0.00 μB per cell
Formation energy ... -0.139 eV/atom
Total DFT energy (no corrections) ... -5.052 eV/atom

Lattice parameters (Å, degrees): 3.8313 3.8313 9.2183 78.01 78.01 60.00
Sites, in units of the cell vectors:
La 0.5026 0.5026 0.4922
Tm 0.0548 0.0548 0.8356
Tm 0.2772 0.2772 0.1684
Ni 0.6654 0.6654 0.0038


5.
VASP calculation (PBE) on an optimized crystal structure of Ta5Mo3.

Space group ... C2/m, No. 12
Energy relative to the lowest polymorph listed for this composition ... 0.0762 eV/atom
Total magnetization ... 0.00 μB per cell
Formation energy ... -0.097 eV/atom
Total DFT energy (no corrections) ... -11.566 eV/atom

Lattice parameters (Å, degrees): 5.3439 5.3439 5.7077 79.40 79.40 115.60
Sites, in units of the cell vectors:
Mo 0.0000 0.0000 0.0000
Mo 0.0000 0.0000 0.5000
Mo 0.5000 0.5000 0.0000
Ta 0.9902 0.5007 0.7518
Ta 0.0098 0.4993 0.2482
Ta 0.5007 0.9902 0.7518
Ta 0.5000 0.5000 0.5000
Ta 0.4993 0.0098 0.2482


6.
VASP calculation (PBE) on an optimized crystal structure of Pm5Pb5C.

Space group ... C2/m, No. 12
Total magnetization ... 0.00 μB per cell
Formation energy ... -0.248 eV/atom
Total DFT energy (no corrections) ... -4.931 eV/atom

Lattice parameters (Å, degrees): 5.9274 7.2403 9.5214 114.51 90.00 114.16
Sites, in units of the cell vectors:
Pm 0.8491 0.6981 0.0861
Pm 0.8552 0.7103 0.7165
Pm 0.5000 0.0000 0.0000
Pm 0.1448 0.2897 0.2835
Pm 0.1509 0.3019 0.9139
Pb 0.7290 0.4580 0.3278
Pb 0.5674 0.1348 0.7094
Pb 0.0000 0.0000 0.5000
Pb 0.4326 0.8652 0.2906
Pb 0.2710 0.5420 0.6722
C 0.0000 0.0000 0.0000


7.
VASP calculation (PBE) on an optimized crystal structure of PrSmYHo.

Space group ... I-4m2, No. 119
Energy relative to the lowest polymorph listed for this composition ... 0.0000 eV/atom
Total magnetization ... 0.00 μB per cell
Formation energy ... 0.020 eV/atom
Total DFT energy (no corrections) ... -5.115 eV/atom

Lattice parameters (Å, degrees): 5.1221 5.1153 6.2402 114.20 114.23 90.00
Sites, in units of the cell vectors:
Pr 0.6957 0.1957 0.3914
Sm 0.9454 0.9454 0.8908
Y 0.4457 0.4457 0.8913
Ho 0.1954 0.6954 0.3909


8.
VASP calculation (PBE) on an optimized crystal structure of RbCaPrI6.

Space group ... P-31c, No. 163
Formation energy (no corrections) ... -1.512 eV per atom
Total magnetization ... 0.00 μB per cell
Total DFT energy (no corrections) ... -3.407 eV/atom

Lattice parameters (Å, degrees): 8.1612 8.1612 16.1635 90.00 90.00 120.00
Sites, in units of the cell vectors:
Rb 0.0000 0.0000 0.0000
Rb 0.0000 0.0000 0.5000
Ca 0.3333 0.6667 0.2500
Ca 0.6667 0.3333 0.7500
Pr 0.6667 0.3333 0.2500
Pr 0.3333 0.6667 0.7500
I 0.6268 0.6273 0.1367
I 0.0005 0.3732 0.1367
I 0.3732 0.0005 0.6367
I 0.9995 0.6268 0.8633
I 0.3727 0.3732 0.3633
I 0.0005 0.6273 0.3633
I 0.6273 0.0005 0.8633
I 0.6268 0.9995 0.3633
I 0.9995 0.3727 0.6367
I 0.3727 0.9995 0.1367
I 0.6273 0.6268 0.6367
I 0.3732 0.3727 0.8633


9.
VASP calculation (PBE) on an optimized crystal structure of Zn2ReRu.

Space group ... Cmmm, No. 65
Energy relative to the lowest polymorph listed for this composition ... 0.2449 eV/atom
Total magnetization ... 0.57 μB per cell
Formation energy ... 0.217 eV/atom
Total DFT energy (no corrections) ... -5.851 eV/atom

Lattice parameters (Å, degrees): 2.6728 2.6728 8.7489 90.00 90.00 112.52
Sites, in units of the cell vectors:
Re 0.5000 0.5000 0.2500
Ru 0.5000 0.5000 0.7500
Zn 0.0000 0.0000 0.9947
Zn 0.0000 0.0000 0.5053


10.
VASP calculation (PBE) on an optimized crystal structure of ReAs2W.

Space group ... C2/m, No. 12
Energy relative to the lowest polymorph listed for this composition ... 0.2756 eV/atom
Total magnetization ... 0.00 μB per cell
Formation energy ... 0.396 eV/atom
Total DFT energy (no corrections) ... -8.280 eV/atom

Lattice parameters (Å, degrees): 4.3568 4.3568 5.2398 78.14 78.14 40.08
Sites, in units of the cell vectors:
Re 0.2500 0.2500 0.2500
As 0.9978 0.9978 0.0043
As 0.5022 0.5022 0.4957
W 0.7500 0.7500 0.7500


11.
VASP calculation (PBE) on an optimized crystal structure of RbScFe3.

Space group ... Pm-3m, No. 221
Energy relative to the lowest polymorph listed for this composition ... 0.7945 eV/atom
Total magnetization ... 6.58 μB per cell
Formation energy ... 2.243 eV/atom
Total DFT energy (no corrections) ... -4.294 eV/atom

Lattice parameters (Å, degrees): 4.6930 4.6930 4.6930 90.00 90.00 90.00
Sites, in units of the cell vectors:
Sc 0.5000 0.5000 0.5000
Fe 0.0000 0.5000 0.0000
Fe 0.0000 0.0000 0.5000
Fe 0.5000 0.0000 0.0000
Rb 0.0000 0.0000 0.0000


12.
VASP calculation (PBE) on an optimized crystal structure of AcLa2DySe4.

Space group ... P2/m, No. 10
Formation energy (no corrections) ... -1.882 eV per atom
Total magnetization ... 0.00 μB per cell
Total DFT energy (no corrections) ... -5.945 eV/atom

Lattice parameters (Å, degrees): 4.2593 7.5056 7.4362 109.01 90.00 90.00
Sites, in units of the cell vectors:
Ac 0.0000 0.0000 0.0000
La 0.5000 0.0000 0.5000
La 0.0000 0.5000 0.5000
Dy 0.5000 0.5000 0.0000
Se 0.5000 0.2644 0.2492
Se 0.5000 0.7356 0.7508
Se 0.0000 0.2674 0.7610
Se 0.0000 0.7326 0.2390


| no. | calculated volume (Å³ per atom) |
| --- | --- |
| 1 | 21.6 |
| 2 | 17.4 |
| 3 | 29.0 |
| 4 | 28.4 |
| 5 | 17.2 |
| 6 | 30.2 |
| 7 | 33.3 |
| 8 | 51.8 |
| 9 | 14.4 |
| 10 | 15.6 |
| 11 | 20.7 |
| 12 | 28.1 |